## Mg30AlFeO32 (GGA+U)

Data for a relaxed structure of Mg30AlFeO32.

SG: P4/mmm (123)
density: 3.57 g/cm3
VASP energy: -6.014 eV/atom
total moment: 3.000 μB per formula unit

a = 8.501 Å, b = 8.501 Å, c = 8.528 Å
α = 90.00°, β = 90.00°, γ = 90.00°
Last column: magnetic moment on the atom in μB.
Atoms (fractional coordinates):
Mg  0.000  0.500  0.000  0.00
Mg  0.000  0.500  0.500  0.00
Mg  0.500  0.000  0.000  0.00
Mg  0.500  0.000  0.500  0.00
Mg  0.500  0.500  0.000  0.00
Mg  0.500  0.500  0.500  0.00
Mg  0.000  0.248  0.253  0.00
Mg  0.000  0.248  0.747  0.00
Mg  0.000  0.752  0.253  0.00
Mg  0.000  0.752  0.747  0.00
Mg  0.500  0.250  0.251  0.00
Mg  0.500  0.250  0.749  0.00
Mg  0.500  0.750  0.251  0.00
Mg  0.500  0.750  0.749  0.00
Mg  0.248  0.000  0.253  0.00
Mg  0.248  0.000  0.747  0.00
Mg  0.250  0.500  0.251  0.00
Mg  0.250  0.500  0.749  0.00
Mg  0.752  0.000  0.253  0.00
Mg  0.752  0.000  0.747  0.00
Mg  0.750  0.500  0.251  0.00
Mg  0.750  0.500  0.749  0.00
Mg  0.250  0.250  0.000  0.00
Mg  0.249  0.249  0.500  0.00
Mg  0.250  0.750  0.000  0.00
Mg  0.249  0.751  0.500  0.00
Mg  0.750  0.250  0.000  0.00
Mg  0.751  0.249  0.500  0.00
Mg  0.750  0.750  0.000  0.00
Mg  0.751  0.751  0.500  0.00
Al  0.000  0.000  0.000  0.01
Fe  0.000  0.000  0.500  2.90
O  0.239  0.000  0.000  0.00
O  0.260  0.000  0.500  0.01
O  0.248  0.500  0.000  0.00
O  0.251  0.500  0.500  0.00
O  0.761  0.000  0.000  0.00
O  0.740  0.000  0.500  0.01
O  0.752  0.500  0.000  0.00
O  0.749  0.500  0.500  0.00
O  0.250  0.250  0.250  0.00
O  0.250  0.250  0.750  0.00
O  0.250  0.750  0.250  0.00
O  0.250  0.750  0.750  0.00
O  0.750  0.250  0.250  0.00
O  0.750  0.250  0.750  0.00
O  0.750  0.750  0.250  0.00
O  0.750  0.750  0.750  0.00
O  0.000  0.000  0.219  0.01
O  0.000  0.000  0.781  0.01
O  0.000  0.500  0.246  0.00
O  0.000  0.500  0.754  0.00
O  0.500  0.000  0.246  0.00
O  0.500  0.000  0.754  0.00
O  0.500  0.500  0.249  0.00
O  0.500  0.500  0.751  0.00
O  0.000  0.239  0.000  0.00
O  0.000  0.260  0.500  0.01
O  0.000  0.761  0.000  0.00
O  0.000  0.740  0.500  0.01
O  0.500  0.248  0.000  0.00
O  0.500  0.251  0.500  0.00
O  0.500  0.752  0.000  0.00
O  0.500  0.749  0.500  0.00